# Er2Tm5Mg

An optimized crystal structure of Er2Tm5Mg (PBE-GGA, Alexandria).

Its uncorrected energy is -132.2 eV/cell. For the formation energy, the calculation gives 4 meV per atom. As for the magnetic moment: 0.00 μB per cell. The energy above the most stable polymorph in this dataset comes out at 0.0 kJ/mol of atoms.

It has space group Fmm2 (No. 42), with a = 6.995 Å, b = 11.106 Å, c = 12.125 Å, α = 90.00°, β = 90.00° and γ = 90.00°. The asymmetric unit holds Er at (0.000, 0.244, 0.000), Tm at (0.000, 0.000, 0.339), Tm at (0.242, 0.000, 0.584), Tm at (0.250, 0.250, 0.251) and Mg at (0.000, 0.000, 0.833).